Material: LiCd3H
Method: DFT, GGA-PBE
State: relaxed

Values from the calculation:
Total magnetization in μB/cell: 0.00
N(E_F) in states/eV/atom: 0.290
Symmetry: Pm-3m (221)
V in Å³/f.u.: 90
Energy above the lowest structure with this stoichiometry in meV/atom: 0

Unit cell a=4.4830 b=4.4830 c=4.4830 alpha=90.00 beta=90.00 gamma=90.00
Element x y z (fractional)
1 Li 0.0000 0.0000 0.0000
2 Cd 0.0000 0.5000 0.5000
3 Cd 0.5000 0.0000 0.5000
4 Cd 0.5000 0.5000 0.0000
5 H 0.5000 0.5000 0.5000